(1)
Material: PHOsRu
Method: DFT, PBE-GGA
State: optimized geometry

a = 2.970 Å, b = 3.696 Å, c = 4.345 Å
α = 90.00°, β = 108.54°, γ = 90.00°
Fractional positions:
P  0.673  0.500  0.328
Ru  0.128  0.000  0.192
Os  0.374  0.500  0.757
H  0.230  0.000  0.773

Its volume is 45.2 Å³ per cell. The magnetic moment comes out at 0.00 μB/f.u. Its space group is Pm, No. 6. The mass density comes out at 11.87 Mg/m³. As for the excess energy over the best structure of this formula in the dataset: 23.5 meV per atom. The total energy comes out at -7.3345 eV per atom.

(2)
Material: PHOsRu
Method: DFT, PBE-GGA
State: optimized geometry

a = 3.938 Å, b = 3.938 Å, c = 10.132 Å
α = 90.00°, β = 90.00°, γ = 120.00°
Fractional positions:
Os  0.333  0.667  0.492
Os  0.000  0.000  0.825
Os  0.667  0.333  0.159
H  0.000  0.000  0.988
H  0.667  0.333  0.321
H  0.333  0.667  0.655
P  0.000  0.000  0.565
P  0.333  0.667  0.231
P  0.667  0.333  0.898
Ru  0.667  0.333  0.662
Ru  0.000  0.000  0.329
Ru  0.333  0.667  0.996

Its volume is 136.1 Å³ per cell. The magnetic moment comes out at 0.00 μB/f.u. Its space group is R3m, No. 160. The mass density comes out at 11.83 Mg/m³. As for the excess energy over the best structure of this formula in the dataset: 93.9 meV per atom. The total energy comes out at -7.2641 eV per atom.